[1]
Entry from the Alexandria database: a geometry-optimized BaAl2Cd structure (PBE).

Geometry as extended XYZ:
```
4
Lattice="4.5301 0.0000 0.0000 0.0000 3.7612 0.0071 0.0000 1.8688 6.6123" Properties=species:S:1:pos:R:3 pbc="T T T"
Al 0.0000 2.5797 6.5511
Al 2.2650 0.6971 1.2958
Ba 0.0000 2.5776 3.1118
Cd 2.2650 4.4593 5.5826
```

Output
**SG**: No. 6
**DFT formation energy**: -0.111 eV/f.u.
**V**: 28.2 A^3/atom
**Raw total energy**: -2.61 eV/atom


[2]
Entry from the Alexandria database: a geometry-optimized Fe2CoNi structure (PBE).

Geometry as extended XYZ:
```
4
Lattice="-6.0006 5.7843 0.6651 -6.0407 5.4792 -1.8431 -7.3730 3.9265 -0.3600" Properties=species:S:1:pos:R:3 pbc="T T T"
Co -14.5606 11.3923 -1.1535
Fe -19.4130 15.1889 -1.5379
Fe -9.7084 7.5959 -0.7691
Ni -4.8538 3.7976 -0.3845
```

Output
**SG**: No. 166
**DFT formation energy**: 0.100 eV/f.u.
**V**: 11.4 A^3/atom
**Raw total energy**: -7.43 eV/atom
**Energy above the lowest structure with this stoichiometry**: 0.037 eV/atom


[3]
Entry from the Alexandria database: a geometry-optimized Ni3MoIr3 structure (PBE).

Geometry as extended XYZ:
```
28
Lattice="7.3327 0.0000 0.0000 0.0000 7.3327 0.0000 0.0000 0.0000 7.3327" Properties=species:S:1:pos:R:3 pbc="T T T"
Ni 6.3197 2.6533 1.0131
Ni 7.0238 7.0238 7.0238
Ni 6.2867 4.7125 2.6203
Ni 1.0131 6.3197 2.6534
Ni 1.0461 1.0460 1.0460
Ni 2.6203 6.2866 4.7124
Ni 0.3088 3.3574 3.9752
Ni 2.6534 1.0131 6.3197
Ni 4.7124 2.6203 6.2866
Ni 4.6794 4.6793 4.6793
Ni 3.9752 0.3088 3.3574
Ni 3.3574 3.9752 0.3088
Mo 1.2708 4.9371 6.0618
Mo 6.0618 1.2709 4.9371
Mo 2.3955 2.3955 2.3955
Mo 4.9371 6.0618 1.2709
Ir 6.1172 4.6259 6.7585
Ir 6.3732 0.5742 2.4509
Ir 6.7585 6.1173 4.6259
Ir 0.9595 4.2406 1.2155
Ir 1.2154 0.9595 4.2406
Ir 2.4509 6.3732 0.5742
Ir 0.5742 2.4509 6.3732
Ir 2.7068 3.0921 4.8817
Ir 4.2406 1.2155 0.9595
Ir 4.6259 6.7585 6.1173
Ir 4.8817 2.7068 3.0921
Ir 3.0921 4.8817 2.7068
```

Output
**SG**: No. 198
**DFT formation energy**: 0.718 eV/f.u.
**V**: 14.1 A^3/atom
**Raw total energy**: -7.72 eV/atom


[4]
Entry from the Alexandria database: a geometry-optimized LiPuGe2Pd2 structure (PBE).

Geometry as extended XYZ:
```
6
Lattice="4.2777 0.0000 0.0000 -2.1388 3.7046 0.0000 0.0000 0.0000 6.7091" Properties=species:S:1:pos:R:3 pbc="T T T"
Li 0.0000 0.0000 3.3546
Pu 0.0000 0.0000 0.0000
Ge 0.0000 2.4697 1.7440
Ge 2.1388 1.2349 4.9651
Pd 0.0000 2.4697 4.3119
Pd 2.1388 1.2349 2.3973
```

Output
**SG**: No. 164
**DFT formation energy**: -3.674 eV/f.u.
**V**: 17.7 A^3/atom
**Raw total energy**: -6.59 eV/atom


[5]
Entry from the Alexandria database: a geometry-optimized RbTl5F6 structure (PBE).

Geometry as extended XYZ:
```
12
Lattice="-1.7763 4.5732 4.9469 -3.0985 -6.2352 -0.2532 6.2620 -1.9083 2.3742" Properties=species:S:1:pos:R:3 pbc="T T T"
Tl 1.1319 1.7981 5.2579
Tl -2.2183 0.9602 3.2086
Tl 0.6936 -1.7851 3.5339
Tl -2.6565 -2.6221 1.4851
Tl 0.2553 -5.3683 1.8100
Rb 0.0000 0.0000 0.0000
F 1.2554 -0.8605 6.1477
F 0.5737 0.9020 2.6578
F -2.1091 -1.6972 4.0637
F 3.4964 -1.8730 3.0041
F 0.8136 -4.4722 4.4100
F 0.1319 -2.7097 0.9202
```

Output
**SG**: No. 12
**V**: 23.0 A^3/atom
**ΔE_f (raw)**: -1.879 eV per atom
**Raw total energy**: -3.88 eV/atom


[6]
Entry from the Alexandria database: a geometry-optimized Ac5La2NdDy structure (PBE).

Geometry as extended XYZ:
```
18
Lattice="-2.9611 2.7814 7.4685 -0.9819 -8.0340 2.6027 11.6038 2.6798 -1.2366" Properties=species:S:1:pos:R:3 pbc="T T T"
Ac 0.1277 -0.0189 7.5214
Ac 6.3765 2.6312 4.1728
Ac 7.5331 -2.5540 1.3132
Ac 7.8986 1.5808 0.3283
Ac 6.0110 -1.5036 5.1577
Ac -0.2378 -4.1537 8.5064
Ac 1.6499 -1.0692 3.6769
Ac 1.2844 -5.2040 4.6618
Ac -1.9715 -2.6263 5.0356
Ac 0.0000 0.0000 0.0000
La -0.7311 -2.7046 1.8918
La -1.9590 0.7533 4.9564
La -1.9840 -6.0059 5.1148
La -3.2119 -2.5481 8.1794
Nd 4.8162 0.0267 1.8995
Nd 2.8447 -2.5996 6.9351
Dy 4.3252 -3.9903 3.2008
Dy 3.3356 1.4174 5.6338
```

Output
**SG**: No. 140
**DFT formation energy**: 2.336 eV/f.u.
**V**: 41.6 A^3/atom
**Raw total energy**: -4.16 eV/atom


[7]
Entry from the Alexandria database: a geometry-optimized Dy4YTm3S8 structure (PBE).

Geometry as extended XYZ:
```
16
Lattice="7.7614 0.0000 0.0000 0.0000 7.7740 0.0031 -3.8807 -3.8769 5.4907" Properties=species:S:1:pos:R:3 pbc="T T T"
Dy 3.8807 0.0000 0.0000
Dy 1.9403 -1.9384 2.7453
Dy 0.0000 0.0000 0.0000
Dy -1.9403 -1.9384 2.7453
Y 0.0000 3.8870 0.0016
Tm 3.8807 3.8870 0.0016
Tm 1.9403 1.9486 2.7469
Tm -1.9403 1.9486 2.7469
S -1.9201 1.9390 5.4684
S 0.0000 3.8572 2.7516
S 0.0000 0.0395 2.7705
S 1.9202 1.9390 5.4684
S 1.9605 1.9581 0.0254
S 3.8807 3.8576 2.7233
S 3.8807 0.0399 2.7422
S 5.8008 1.9581 0.0254
```

Output
**SG**: No. 166
**V**: 20.7 A^3/atom
**ΔE_f (raw)**: -1.966 eV per atom
**Raw total energy**: -6.42 eV/atom


[8]
Entry from the Alexandria database: a geometry-optimized MnOs2Au structure (PBE).

Geometry as extended XYZ:
```
4
Lattice="-1.6989 -3.4774 -2.8299 -1.7885 -3.5935 2.6221 -0.7018 4.7420 0.0894" Properties=species:S:1:pos:R:3 pbc="T T T"
Au -2.1170 -1.1935 1.3038
Mn -2.0722 -1.1354 -1.4222
Os 0.0000 0.0000 0.0000
Os -1.7437 -3.5354 -0.1039
```

Output
**SG**: No. 139
**DFT formation energy**: 1.827 eV/f.u.
**V**: 14.7 A^3/atom
**Raw total energy**: -8.27 eV/atom
**Energy above the lowest structure with this stoichiometry**: 0.231 eV/atom


[9]
Entry from the Alexandria database: a geometry-optimized AgSnBi2 structure (PBE).

Geometry as extended XYZ:
```
4
Lattice="-0.9163 0.8179 -4.2112 4.7854 -0.9021 -1.2164 -1.0928 -4.8480 -0.7038" Properties=species:S:1:pos:R:3 pbc="T T T"
Bi -0.5464 -2.4240 -0.3519
Bi 2.3927 -0.4511 -0.6082
Ag 1.3881 -2.4662 -3.0657
Sn -0.4581 0.4089 -2.1056
```

Output
**SG**: No. 123
**DFT formation energy**: 0.612 eV/f.u.
**V**: 27.6 A^3/atom
**Raw total energy**: -3.50 eV/atom


[10]
Entry from the Alexandria database: a geometry-optimized AlVSn structure (PBE).

Geometry as extended XYZ:
```
3
Lattice="-1.0283 1.1489 2.2890 -4.2063 -1.8578 -0.9571 3.0925 -2.4012 2.5944" Properties=species:S:1:pos:R:3 pbc="T T T"
Al -0.8647 0.9662 1.9249
Sn -2.6224 -1.0903 2.1168
V 0.3168 -1.8371 2.1736
```

Output
**SG**: No. 156
**DFT formation energy**: 0.797 eV/f.u.
**V**: 17.6 A^3/atom
**Raw total energy**: -5.36 eV/atom


[11]
Entry from the Alexandria database: a geometry-optimized Cs2NbZnTc structure (PBE).

Geometry as extended XYZ:
```
5
Lattice="-2.9732 -2.0880 -6.1720 1.2916 -4.3339 0.8439 -6.1976 -1.1874 3.3873" Properties=species:S:1:pos:R:3 pbc="T T T"
Cs -3.0988 -0.5937 1.6936
Cs -1.4866 -1.0440 -3.0860
Zn -3.9396 -3.8046 -0.9704
Nb 0.6458 -2.1669 0.4220
Tc 0.0000 0.0000 0.0000
```

Output
**SG**: No. 123
**DFT formation energy**: 6.156 eV/f.u.
**V**: 47.2 A^3/atom
**Raw total energy**: -3.45 eV/atom


[12]
Entry from the Alexandria database: a geometry-optimized PmPr2Y6 structure (PBE).

Geometry as extended XYZ:
```
9
Lattice="-1.1302 1.5652 2.9521 -9.8037 -0.3950 -1.4433 -4.8287 -7.5465 4.2529" Properties=species:S:1:pos:R:3 pbc="T T T"
Pm 0.0000 0.0000 0.0000
Pr -10.5687 -3.8970 4.3381
Pr -5.1938 -2.4793 1.4236
Y -4.3464 1.0692 1.9781
Y -13.0695 -5.0689 1.8906
Y -11.4162 -7.4455 3.7836
Y -6.9535 -4.5219 3.9432
Y -2.6931 -1.3074 3.8711
Y -8.8091 -1.8544 1.8185
```

Output
**SG**: No. 71
**DFT formation energy**: 0.917 eV/f.u.
**V**: 33.7 A^3/atom
**Raw total energy**: -5.80 eV/atom
**Energy above the lowest structure with this stoichiometry**: 0.003 eV/atom